No. 1
{"formula": "Th3Tl5Te12", "functional": "PBE-GGA", "state": "optimized geometry", "lattice_angstrom": [[-9.112, 9.112, 9.112], [9.112, -9.112, 9.112], [9.112, 9.112, -9.112]], "species": ["Th", "Th", "Th", "Th", "Th", "Th", "Th", "Th", "Th", "Th", "Th", "Th", "Tl", "Tl", "Tl", "Tl", "Tl", "Tl", "Tl", "Tl", "Tl", "Tl", "Tl", "Tl", "Tl", "Tl", "Tl", "Tl", "Tl", "Tl", "Tl", "Tl", "Te", "Te", "Te", "Te", "Te", "Te", "Te", "Te", "Te", "Te", "Te", "Te", "Te", "Te", "Te", "Te", "Te", "Te", "Te", "Te", "Te", "Te", "Te", "Te", "Te", "Te", "Te", "Te", "Te", "Te", "Te", "Te", "Te", "Te", "Te", "Te", "Te", "Te", "Te", "Te", "Te", "Te", "Te", "Te", "Te", "Te", "Te", "Te"], "fractional_positions": [[0.125, 0.250, 0.375], [0.125, 0.375, 0.750], [0.250, 0.375, 0.125], [0.250, 0.875, 0.625], [0.375, 0.125, 0.250], [0.375, 0.750, 0.125], [0.625, 0.250, 0.875], [0.625, 0.875, 0.750], [0.750, 0.125, 0.375], [0.750, 0.625, 0.875], [0.875, 0.625, 0.250], [0.875, 0.750, 0.625], [0.000, 0.000, 0.000], [0.000, 0.000, 0.500], [0.000, 0.500, 0.000], [0.000, 0.500, 0.500], [0.125, 0.750, 0.875], [0.125, 0.875, 0.250], [0.250, 0.125, 0.875], [0.250, 0.625, 0.375], [0.375, 0.250, 0.625], [0.375, 0.625, 0.750], [0.500, 0.000, 0.000], [0.500, 0.000, 0.500], [0.500, 0.500, 0.000], [0.500, 0.500, 0.500], [0.625, 0.375, 0.250], [0.625, 0.750, 0.375], [0.750, 0.375, 0.625], [0.750, 0.875, 0.125], [0.875, 0.125, 0.750], [0.875, 0.250, 0.125], [0.057, 0.227, 0.140], [0.057, 0.330, 0.917], [0.083, 0.640, 0.413], [0.083, 0.943, 0.670], [0.087, 0.727, 0.670], [0.087, 0.860, 0.417], [0.140, 0.057, 0.227], [0.140, 0.583, 0.913], [0.170, 0.227, 0.587], [0.170, 0.443, 0.583], [0.227, 0.140, 0.057], [0.227, 0.587, 0.170], [0.273, 0.330, 0.913], [0.273, 0.443, 0.360], [0.330, 0.913, 0.273], [0.330, 0.917, 0.057], [0.360, 0.273, 0.443], [0.360, 0.587, 0.917], [0.413, 0.083, 0.640], [0.413, 0.830, 0.773], [0.417, 0.087, 0.860], [0.417, 0.830, 0.557], [0.443, 0.360, 0.273], [0.443, 0.583, 0.170], [0.557, 0.417, 0.830], [0.557, 0.640, 0.727], [0.583, 0.170, 0.443], [0.583, 0.913, 0.140], [0.587, 0.170, 0.227], [0.587, 0.917, 0.360], [0.640, 0.413, 0.083], [0.640, 0.727, 0.557], [0.670, 0.083, 0.943], [0.670, 0.087, 0.727], [0.727, 0.557, 0.640], [0.727, 0.670, 0.087], [0.773, 0.413, 0.830], [0.773, 0.860, 0.943], [0.830, 0.557, 0.417], [0.830, 0.773, 0.413], [0.860, 0.417, 0.087], [0.860, 0.943, 0.773], [0.913, 0.140, 0.583], [0.913, 0.273, 0.330], [0.917, 0.057, 0.330], [0.917, 0.360, 0.587], [0.943, 0.670, 0.083], [0.943, 0.773, 0.860]]}

---

No. 2
{"formula": "Th2TlTe", "functional": "PBE-GGA", "state": "optimized geometry", "de_polymorph_mev_per_atom": 147, "lattice_angstrom": [[1.949, 1.125, 9.595], [-1.949, 1.125, 9.595], [0.000, -2.251, 9.595]], "species": ["Th", "Th", "Tl", "Te"], "fractional_positions": [[0.000, 0.000, 0.000], [0.176, 0.176, 0.176], [0.754, 0.754, 0.754], [0.588, 0.588, 0.588]]}

---

No. 3
{"formula": "ThTl3Te3", "functional": "PBE-GGA", "state": "optimized geometry", "lattice_angstrom": [[9.073, 0.000, 0.000], [0.000, 4.462, 0.000], [-1.106, 0.000, 13.061]], "species": ["Th", "Th", "Tl", "Tl", "Tl", "Tl", "Tl", "Tl", "Te", "Te", "Te", "Te", "Te", "Te"], "fractional_positions": [[0.134, 0.250, 0.135], [0.866, 0.750, 0.865], [0.156, 0.250, 0.621], [0.367, 0.750, 0.798], [0.398, 0.750, 0.380], [0.602, 0.250, 0.620], [0.633, 0.250, 0.202], [0.844, 0.750, 0.379], [0.114, 0.250, 0.368], [0.115, 0.250, 0.891], [0.374, 0.750, 0.122], [0.626, 0.250, 0.878], [0.885, 0.750, 0.109], [0.886, 0.750, 0.632]]}

---

Calculated ΔE_f (raw), -505, -444, -587 meV/atom (same order as the records).